Entry from Alexandria via LeMat-Bulk: a relaxed NaSnWO6 crystal (PBE with a Hubbard U).

DFT total energy: -113.5 eV for the cell shown
Crystal system: tetragonal

Cell and atoms, written as POSCAR:
```
NaSnWO6
1.0
4.955 0.000 0.000
0.000 4.955 0.000
0.000 0.000 9.619
Na Sn W O
2 2 2 12
direct
0.000 0.000 0.000
0.500 0.500 0.500
0.000 0.000 0.332
0.500 0.500 0.832
0.000 0.000 0.668
0.500 0.500 0.168
0.175 0.175 0.509
0.207 0.207 0.800
0.222 0.222 0.186
0.278 0.722 0.686
0.293 0.707 0.300
0.325 0.675 0.009
0.675 0.325 0.009
0.707 0.293 0.300
0.722 0.278 0.686
0.778 0.778 0.186
0.793 0.793 0.800
0.825 0.825 0.509
```